Record 1
Compound: Sm4YMg
Source: Alexandria
Functional: PBE
Structure: optimized geometry

E above lowest polymorph = 0.190 eV/f.u.
total moment = 0.00 μB per formula unit
energy = -107.450 eV per cell
Fermi-level density of states = 7.98 states/eV/f.u.
calculated formation energy = 12 meV per atom

Lattice parameters (Å, degrees): 10.7201 6.1904 12.0380 90.00 107.54 90.00
Space group C2/c (No. 15)
Asymmetric unit:
Sm1 0.0814 0.2437 0.4993 [8 per cell]
Sm2 0.1672 0.4183 0.2501 [8 per cell]
Y1 0.2500 0.2500 0.0000 [4 per cell]
Mg1 0.0000 0.0848 0.7500 [4 per cell]

=====

Record 2
Compound: Sm7Y2Mg2
Source: Alexandria
Functional: PBE
Structure: optimized geometry

E above lowest polymorph = 0.480 eV/f.u.
total moment = 0.00 μB per formula unit
energy = -94.269 eV per cell
Fermi-level density of states = 16.55 states/eV/f.u.
calculated formation energy = 183 meV per atom

Lattice parameters (Å, degrees): 9.9328 11.8319 6.7234 90.00 114.35 90.00
Space group C2/m (No. 12)
Asymmetric unit:
Sm1 0.0000 0.0000 0.0000 [2 per cell]
Sm2 0.1621 0.5000 0.4728 [4 per cell]
Sm3 0.1768 0.2452 0.1992 [8 per cell]
Y1 0.0000 0.1392 0.5000 [4 per cell]
Mg1 0.1627 0.5000 0.9770 [4 per cell]

=====

Record 3
Compound: SmY2Mg9
Source: Alexandria
Functional: PBE
Structure: optimized geometry

total moment = 0.00 μB per formula unit
energy = -98.114 eV per cell
Fermi-level density of states = 11.16 states/eV/f.u.
calculated formation energy = -59 meV per atom

Lattice parameters (Å, degrees): 6.0596 6.0596 29.1413 90.00 90.00 120.00
Space group R-3m (No. 166, hexagonal axes)
Asymmetric unit:
Sm1 0.0000 0.0000 0.0000 [3 per cell]
Y1 0.0000 0.0000 0.1426 [6 per cell]
Mg1 0.0000 0.0000 0.3341 [6 per cell]
Mg2 0.0000 0.0000 0.5000 [3 per cell]
Mg3 0.0052 0.5026 0.9156 [18 per cell]

=====

Record 4
Compound: Sm7Y12Mg
Source: Alexandria
Functional: PBE
Structure: optimized geometry

total moment = 0.00 μB per formula unit
energy = -324.148 eV per cell
Fermi-level density of states = 32.82 states/eV/f.u.
calculated formation energy = 207 meV per atom

Lattice parameters (Å, degrees): 11.9847 11.9847 16.2087 90.00 90.00 120.00
Space group R-3 (No. 148, hexagonal axes)
Asymmetric unit:
Sm1 0.0000 0.0000 0.0000 [3 per cell]
Sm2 0.0595 0.1885 0.2909 [18 per cell]
Y1 0.0347 0.4580 0.2191 [18 per cell]
Y2 0.0548 0.5835 0.5840 [18 per cell]
Mg1 0.0000 0.0000 0.5000 [3 per cell]

=====

Record 5
Compound: Sm3Y3Mg
Source: Alexandria
Functional: PBE
Structure: optimized geometry

E above lowest polymorph = 0.000 eV/f.u.
total moment = 0.47 μB per formula unit
energy = -70.066 eV per cell
Fermi-level density of states = 11.73 states/eV/f.u.
calculated formation energy = 16 meV per atom

Lattice parameters (Å, degrees): 9.5548 9.5548 5.6644 90.00 90.00 120.00
Space group P6_3/m (No. 176)
Asymmetric unit:
Sm1 0.1030 0.6263 0.2500 [6 per cell]
Y1 0.0560 0.8161 0.7500 [6 per cell]
Mg1 0.3333 0.6667 0.7500 [2 per cell]

=====

Record 6
Compound: SmY3Mg
Source: Alexandria
Functional: PBE
Structure: optimized geometry

E above lowest polymorph = 0.426 eV/f.u.
total moment = 0.00 μB per formula unit
energy = -50.806 eV per cell
Fermi-level density of states = 7.15 states/eV/f.u.
calculated formation energy = 61 meV per atom

Lattice parameters (Å, degrees): 3.5299 6.9561 12.9829 90.00 97.78 90.00
Space group P2_1/m (No. 11)
Asymmetric unit:
Sm1 0.0021 0.2500 0.0024 [2 per cell]
Y1 0.2065 0.7500 0.4123 [2 per cell]
Y2 0.3993 0.0083 0.7974 [4 per cell]
Mg1 0.1843 0.2500 0.3712 [2 per cell]

=====

Record 7
Compound: Sm5Y6Mg
Source: Alexandria
Functional: PBE
Structure: optimized geometry

total moment = 0.00 μB per formula unit
energy = -127.359 eV per cell
Fermi-level density of states = 18.25 states/eV/f.u.
calculated formation energy = 25 meV per atom

Lattice parameters (Å, degrees): 6.1892 10.7211 11.8362 90.00 100.05 90.00
Space group C2/m (No. 12)
Asymmetric unit:
Sm1 0.0000 0.0000 0.0000 [2 per cell]
Sm2 0.0000 0.1657 0.5000 [4 per cell]
Sm3 0.0000 0.3344 0.0000 [4 per cell]
Y1 0.2471 0.3343 0.7477 [8 per cell]
Y2 0.2494 0.5000 0.2514 [4 per cell]
Mg1 0.0000 0.5000 0.5000 [2 per cell]

=====

Record 8
Compound: Sm6Y12Mg
Source: Alexandria
Functional: PBE
Structure: optimized geometry

E above lowest polymorph = 0.000 eV/f.u.
total moment = 0.00 μB per formula unit
energy = -315.600 eV per cell
Fermi-level density of states = 29.46 states/eV/f.u.
calculated formation energy = 120 meV per atom

Lattice parameters (Å, degrees): 11.9661 11.9661 15.1549 90.00 90.00 120.00
Space group R-3 (No. 148, hexagonal axes)
Asymmetric unit:
Sm1 0.0170 0.4250 0.1867 [18 per cell]
Y1 0.0039 0.1760 0.3126 [18 per cell]
Y2 0.0474 0.8518 0.9150 [18 per cell]
Mg1 0.0000 0.0000 0.5000 [3 per cell]